*w*
Below is Li3Cd4In after structural relaxation, with properties calculated at the GGA-PBE level.

## Properties
M_tot: 0.000 Bohr magnetons per cell

Unit cell a=9.8321 b=4.6567 c=8.6713 alpha=90.00 beta=123.31 gamma=90.00
With the nearest neighbours (Å) after each atom.
Space group C2/m (No. 12)
Inequivalent atoms, fractional coordinates:
Li 0.0000 0.0000 0.0000 (multiplicity 2)  6 Cd 2.80-3.02
Li 0.2071 0.5000 0.5528 (multiplicity 4)  2 Li 2.80, 4 Cd 2.82-2.98, 2 In 2.96
Cd 0.1364 0.5000 0.8268 (multiplicity 4)  2 Li 2.82-3.02, 4 Cd 2.90-3.08
Cd 0.1665 0.5000 0.1904 (multiplicity 4)  5 Li 2.80-2.98, 1 In 2.88, 5 Cd 2.90-3.12
In 0.0000 0.0000 0.5000 (multiplicity 2)  2 Cd 2.88, 6 Li 2.96-3.15

*x*
Below is Li3Cd4In after structural relaxation, with properties calculated at the GGA-PBE level.

## Properties
M_tot: 0.000 Bohr magnetons per cell

Unit cell a=3.3480 b=4.8993 c=9.8921 alpha=98.43 beta=99.60 gamma=90.32
With the nearest neighbours (Å) after each atom.
Space group P-1 (No. 2)
Inequivalent atoms, fractional coordinates:
Li 0.0000 0.0000 0.0000 (multiplicity 1)  4 Cd 2.83, 4 In 2.96-2.97
Li 0.1239 0.5796 0.2516 (multiplicity 2)  7 Cd 2.94-3.09, 2 In 2.95
Cd 0.2493 0.2519 0.4988 (multiplicity 2)  7 Cd 2.94-3.22, 3 Li 2.96-3.09
Cd 0.3824 0.9313 0.7638 (multiplicity 2)  6 Li 2.83-3.01, 2 Cd 3.08
In 0.5000 0.5000 0.0000 (multiplicity 1)  8 Li 2.95-2.97

Most stable: *x* (next structure +0.055 eV/atom)

*w*
Below is LiCdInPb after structural relaxation, with properties calculated at the GGA-PBE level.

## Properties
M_tot: 0.000 Bohr magnetons per cell

Unit cell a=4.3209 b=4.5372 c=4.9220 alpha=90.00 beta=90.00 gamma=90.00
With the nearest neighbours (Å) after each atom.
Space group Pmmm (No. 47)
Inequivalent atoms, fractional coordinates:
Li 0.0000 0.0000 0.0000 (multiplicity 1)  4 Pb 3.13, 4 In 3.27, 4 Cd 3.35
Cd 0.0000 0.5000 0.5000 (multiplicity 1)  4 In 3.13, 4 Pb 3.27, 4 Li 3.35
In 0.5000 0.0000 0.5000 (multiplicity 1)  4 Cd 3.13, 4 Li 3.27, 4 Pb 3.35
Pb 0.5000 0.5000 0.0000 (multiplicity 1)  4 Li 3.13, 4 Cd 3.27, 4 In 3.35

*x*
Below is LiCdInPb after structural relaxation, with properties calculated at the GGA-PBE level.

## Properties
M_tot: 0.000 Bohr magnetons per cell

Unit cell a=7.3007 b=7.3007 c=7.3007 alpha=90.00 beta=90.00 gamma=90.00
With the nearest neighbours (Å) after each atom.
Space group F-43m (No. 216)
Inequivalent atoms, fractional coordinates:
Li 0.0000 0.0000 0.0000 (multiplicity 4)  4 In 3.16, 4 Pb 3.16
Cd 0.0000 0.0000 0.5000 (multiplicity 4)  4 In 3.16, 4 Pb 3.16
In 0.2500 0.2500 0.2500 (multiplicity 4)  4 Cd 3.16, 4 Li 3.16
Pb 0.2500 0.2500 0.7500 (multiplicity 4)  4 Cd 3.16, 4 Li 3.16

Most stable: *w* (next structure +0.024 eV/atom)

*w*
Below is RbLiCd2In after structural relaxation, with properties calculated at the GGA-PBE level.

## Properties
M_tot: 0.000 Bohr magnetons per cell

Unit cell a=5.6935 b=5.6935 c=5.5629 alpha=90.00 beta=90.00 gamma=90.00
With the nearest neighbours (Å) after each atom.
Space group P4/mmm (No. 123)
Inequivalent atoms, fractional coordinates:
Rb 0.0000 0.0000 0.0000 (multiplicity 1)  8 Cd 3.98, 4 Li 4.03
Li 0.5000 0.5000 0.0000 (multiplicity 1)  2 In 2.78
Cd 0.0000 0.5000 0.5000 (multiplicity 2)  2 In 2.85
In 0.5000 0.5000 0.5000 (multiplicity 1)  2 Li 2.78, 4 Cd 2.85

*x*
Below is RbLiCd2In after structural relaxation, with properties calculated at the GGA-PBE level.

## Properties
M_tot: 0.000 Bohr magnetons per cell

Unit cell a=5.3683 b=5.3683 c=5.2947 alpha=90.00 beta=90.00 gamma=90.00
With the nearest neighbours (Å) after each atom.
Space group P4/mmm (No. 123)
Inequivalent atoms, fractional coordinates:
Rb 0.0000 0.0000 0.0000 (multiplicity 1)  8 Cd 3.77, 4 In 3.80
Li 0.5000 0.5000 0.5000 (multiplicity 1)  2 In 2.65, 4 Cd 2.68
Cd 0.0000 0.5000 0.5000 (multiplicity 2)  2 Li 2.68
In 0.5000 0.5000 0.0000 (multiplicity 1)  2 Li 2.65

Most stable: *w* (next structure +0.017 eV/atom)

*w*
Below is SrLiCd2In after structural relaxation, with properties calculated at the GGA-PBE level.

## Properties
M_tot: 0.000 Bohr magnetons per cell

Unit cell a=4.5720 b=4.5720 c=12.9766 alpha=90.00 beta=90.00 gamma=90.00
With the nearest neighbours (Å) after each atom.
Space group I-4m2 (No. 119)
Inequivalent atoms, fractional coordinates:
Sr 0.0000 0.0000 0.0000 (multiplicity 2)  8 Cd 3.53
Li 0.0000 0.5000 0.7500 (multiplicity 2)  4 Cd 2.92, 4 In 3.23
Cd 0.0000 0.0000 0.3900 (multiplicity 4)  1 Cd 2.85, 2 In 2.92, 2 Li 2.92
In 0.0000 0.5000 0.2500 (multiplicity 2)  4 Cd 2.92, 4 Li 3.23

*x*
Below is SrLiCd2In after structural relaxation, with properties calculated at the GGA-PBE level.

## Properties
M_tot: 0.000 Bohr magnetons per cell

Unit cell a=5.0826 b=5.0826 c=5.1061 alpha=90.00 beta=90.00 gamma=90.00
With the nearest neighbours (Å) after each atom.
Space group P4/mmm (No. 123)
Inequivalent atoms, fractional coordinates:
Sr 0.0000 0.0000 0.0000 (multiplicity 1)  4 In 3.59, 8 Cd 3.60
Li 0.5000 0.5000 0.5000 (multiplicity 1)  4 Cd 2.54, 2 In 2.55
Cd 0.0000 0.5000 0.5000 (multiplicity 2)  2 Li 2.54
In 0.5000 0.5000 0.0000 (multiplicity 1)  2 Li 2.55

Most stable: *w* (next structure +0.111 eV/atom)

*w*
Below is LiTlCdIn after structural relaxation, with properties calculated at the GGA-PBE level.

## Properties
M_tot: 0.000 Bohr magnetons per cell

Unit cell a=10.0106 b=4.5868 c=4.5854 alpha=90.00 beta=116.82 gamma=90.00
With the nearest neighbours (Å) after each atom.
Space group Cm (No. 8)
Inequivalent atoms, fractional coordinates:
Li 0.0000 0.0000 0.0000 (multiplicity 2)  4 Tl 3.19-3.22, 4 In 3.19-3.21, 4 Cd 3.24-3.25
Tl 0.2500 0.5000 0.2492 (multiplicity 2)  4 Li 3.19-3.22, 4 Cd 3.19-3.21, 4 In 3.24-3.25
Cd 0.0000 0.5000 0.5011 (multiplicity 2)  4 In 3.19-3.22, 4 Tl 3.19-3.21, 4 Li 3.24-3.25
In 0.2500 0.0000 0.7504 (multiplicity 2)  4 Cd 3.19-3.22, 4 Li 3.19-3.21, 4 Tl 3.24-3.25

*x*
Below is LiTlCdIn after structural relaxation, with properties calculated at the GGA-PBE level.

## Properties
M_tot: 0.000 Bohr magnetons per cell

Unit cell a=7.2764 b=7.2764 c=7.2764 alpha=90.00 beta=90.00 gamma=90.00
With the nearest neighbours (Å) after each atom.
Space group F-43m (No. 216)
Inequivalent atoms, fractional coordinates:
Li 0.0000 0.0000 0.0000 (multiplicity 4)  4 Tl 3.15, 4 In 3.15
Tl 0.2500 0.2500 0.7500 (multiplicity 4)  4 Cd 3.15, 4 Li 3.15
Cd 0.0000 0.0000 0.5000 (multiplicity 4)  4 In 3.15, 4 Tl 3.15
In 0.2500 0.2500 0.2500 (multiplicity 4)  4 Cd 3.15, 4 Li 3.15

Most stable: *x* (next structure +0.008 eV/atom)

*w*
Below is LuCdIn2 after structural relaxation, with properties calculated at the GGA-PBE level.

## Properties
M_tot: 0.000 Bohr magnetons per cell

Unit cell a=4.5749 b=4.5749 c=4.5085 alpha=90.00 beta=90.00 gamma=90.00
With the nearest neighbours (Å) after each atom.
Space group P4/mmm (No. 123)
Inequivalent atoms, fractional coordinates:
Lu 0.0000 0.0000 0.0000 (multiplicity 1)  8 In 3.21, 4 Cd 3.23
Cd 0.5000 0.5000 0.0000 (multiplicity 1)  8 In 3.21, 4 Lu 3.23
In 0.0000 0.5000 0.5000 (multiplicity 2)  4 Cd 3.21, 4 Lu 3.21, 4 In 3.23

*x*
Below is LuCdIn2 after structural relaxation, with properties calculated at the GGA-PBE level.

## Properties
M_tot: 0.000 Bohr magnetons per cell

Unit cell a=4.8300 b=4.8300 c=14.9913 alpha=90.00 beta=90.00 gamma=120.00
With the nearest neighbours (Å) after each atom.
Space group R-3m (No. 166, hexagonal axes)
Inequivalent atoms, fractional coordinates:
Lu 0.0000 0.0000 0.0000 (multiplicity 3)  6 In 3.14
Cd 0.0000 0.0000 0.5000 (multiplicity 3)  6 In 2.99
In 0.0000 0.0000 0.2377 (multiplicity 6)  3 Cd 2.99, 3 Lu 3.14

Most stable: *w* (next structure +0.185 eV/atom)

*w*
Below is LuCdIn2 after structural relaxation, with properties calculated at the GGA-PBE level.

## Properties
M_tot: 0.000 Bohr magnetons per cell

Unit cell a=3.7278 b=3.7278 c=7.1754 alpha=90.00 beta=90.00 gamma=90.00
With the nearest neighbours (Å) after each atom.
Space group P4/mmm (No. 123)
Inequivalent atoms, fractional coordinates:
Lu 0.0000 0.0000 0.0000 (multiplicity 1)  8 In 3.25, 2 Cd 3.59
Cd 0.0000 0.0000 0.5000 (multiplicity 1)  8 In 3.13
In 0.5000 0.5000 0.2644 (multiplicity 2)  4 Cd 3.13, 4 Lu 3.25, 1 In 3.38

*x*
Below is LuCdIn2 after structural relaxation, with properties calculated at the GGA-PBE level.

## Properties
M_tot: 0.000 Bohr magnetons per cell

Unit cell a=7.3478 b=7.3478 c=7.3478 alpha=90.00 beta=90.00 gamma=90.00
With the nearest neighbours (Å) after each atom.
Space group Fm-3m (No. 225)
Inequivalent atoms, fractional coordinates:
Lu 0.0000 0.0000 0.0000 (multiplicity 4)  8 In 3.18
Cd 0.0000 0.0000 0.5000 (multiplicity 4)  8 In 3.18
In 0.2500 0.2500 0.2500 (multiplicity 8)  4 Cd 3.18, 4 Lu 3.18

Most stable: *w* (next structure +0.020 eV/atom)

*w*
Below is Mg4CdIn3 after structural relaxation, with properties calculated at the GGA-PBE level.

## Properties
M_tot: 0.000 Bohr magnetons per cell

Unit cell a=9.0270 b=6.4082 c=6.4109 alpha=90.00 beta=90.00 gamma=90.00
With the nearest neighbours (Å) after each atom.
Space group Pmna (No. 53)
Inequivalent atoms, fractional coordinates:
Mg 0.0000 0.0000 0.0000 (multiplicity 2)  4 In 3.19, 6 Mg 3.19-3.20, 2 Cd 3.21
Mg 0.0000 0.5000 0.0000 (multiplicity 2)  6 Mg 3.20, 6 In 3.21
Mg 0.2500 0.2490 0.2500 (multiplicity 4)  6 In 3.18-3.23, 2 Cd 3.19, 4 Mg 3.19-3.20
Cd 0.0000 0.0000 0.5000 (multiplicity 2)  6 In 3.19-3.20, 6 Mg 3.19-3.21
In 0.0000 0.5000 0.5000 (multiplicity 2)  6 Mg 3.20-3.21, 2 Cd 3.20, 4 In 3.21
In 0.2500 0.2468 0.7500 (multiplicity 4)  8 Mg 3.18-3.23, 2 Cd 3.19, 2 In 3.21

*x*
Below is Mg4CdIn3 after structural relaxation, with properties calculated at the GGA-PBE level.

## Properties
M_tot: 0.000 Bohr magnetons per cell

Unit cell a=3.2254 b=3.2254 c=17.6367 alpha=90.00 beta=90.00 gamma=90.00
With the nearest neighbours (Å) after each atom.
Space group P4/mmm (No. 123)
Inequivalent atoms, fractional coordinates:
Mg 0.0000 0.0000 0.1201 (multiplicity 2)  4 Cd 3.11, 4 In 3.18, 4 Mg 3.23
Mg 0.0000 0.0000 0.3733 (multiplicity 2)  8 In 3.19-3.20, 4 Mg 3.23
Cd 0.5000 0.5000 0.0000 (multiplicity 1)  8 Mg 3.11, 4 Cd 3.23
In 0.5000 0.5000 0.2459 (multiplicity 2)  8 Mg 3.18-3.20, 4 In 3.23
In 0.5000 0.5000 0.5000 (multiplicity 1)  8 Mg 3.19, 4 In 3.23

Most stable: *x* (next structure +0.023 eV/atom)

*w*
Below is Mg12Cd5In2 after structural relaxation, with properties calculated at the GGA-PBE level.

## Properties
M_tot: 0.000 Bohr magnetons per cell

Unit cell a=16.0242 b=6.1836 c=9.7931 alpha=90.00 beta=102.59 gamma=90.00
With the nearest neighbours (Å) after each atom.
Space group C2/m (No. 12)
Inequivalent atoms, fractional coordinates:
Mg 0.0236 0.0000 0.3442 (multiplicity 4)  2 Cd 2.82-2.89
Mg 0.1377 0.5000 0.3434 (multiplicity 4)  4 Cd 2.95-3.27, 4 Mg 3.02-3.14
Mg 0.1468 0.2418 0.6219 (multiplicity 8)  4 Cd 2.88-3.04, 5 Mg 2.99-3.19
Mg 0.1999 0.2512 0.1191 (multiplicity 8)  3 Cd 2.89-3.10, 5 Mg 3.02-3.12, 1 In 3.16
Cd 0.0000 0.5000 0.5000 (multiplicity 2)  6 Mg 2.88-2.95
Cd 0.1312 0.0000 0.8717 (multiplicity 4)  7 Mg 2.89-3.10, 2 In 3.12
Cd 0.2036 0.0000 0.3876 (multiplicity 4)  7 Mg 2.82-3.04
In 0.0000 0.2588 0.0000 (multiplicity 4)  2 In 2.98-3.20, 2 Cd 3.12, 2 Mg 3.16

*x*
Below is Mg12Cd5In2 after structural relaxation, with properties calculated at the GGA-PBE level.

## Properties
M_tot: 0.000 Bohr magnetons per cell

Unit cell a=17.3182 b=10.1215 c=5.1762 alpha=90.00 beta=106.48 gamma=90.00
With the nearest neighbours (Å) after each atom.
Space group C2/m (No. 12)
Inequivalent atoms, fractional coordinates:
Mg 0.0950 0.0000 0.1678 (multiplicity 4)  2 In 2.99, 5 Mg 3.08-3.28, 2 Cd 3.14
Mg 0.0964 0.2367 0.6021 (multiplicity 8)  3 Cd 2.99-3.14, 2 In 3.00-3.09, 5 Mg 3.13-3.34
Mg 0.0999 0.5000 0.0685 (multiplicity 4)  5 Cd 2.95-3.29, 2 In 3.05, 2 Mg 3.10
Mg 0.2027 0.2456 0.2044 (multiplicity 8)  7 Mg 3.02-3.34, 3 Cd 3.03-3.35, 1 In 3.37
Cd 0.0000 0.5000 0.5000 (multiplicity 2)  8 Mg 2.96-3.19, 2 Cd 3.24
Cd 0.1946 0.5000 0.6410 (multiplicity 4)  6 Mg 2.95-3.14, 3 Cd 3.07-3.24
Cd 0.2019 0.0000 0.7691 (multiplicity 4)  7 Mg 2.99-3.29, 2 Cd 3.07-3.14
In 0.0000 0.2476 0.0000 (multiplicity 4)  8 Mg 2.99-3.09

Most stable: *x* (next structure +0.080 eV/atom)

*w*
Below is MgCd6In12 after structural relaxation, with properties calculated at the GGA-PBE level.

## Properties
M_tot: 0.000 Bohr magnetons per cell

Unit cell a=10.8846 b=10.8846 c=14.5812 alpha=90.00 beta=90.00 gamma=120.00
With the nearest neighbours (Å) after each atom.
Space group R-3 (No. 148, hexagonal axes)
Inequivalent atoms, fractional coordinates:
Mg 0.0000 0.0000 0.0000 (multiplicity 3)  6 Cd 3.02, 6 In 3.30
Cd 0.0305 0.4402 0.7042 (multiplicity 18)  1 Mg 3.02, 5 In 3.10-3.29, 2 Cd 3.16
In 0.0296 0.1858 0.8137 (multiplicity 18)  5 In 3.16-3.44, 5 Cd 3.19-3.53, 1 Mg 3.30
In 0.0627 0.8551 0.4091 (multiplicity 18)  3 Cd 3.10-3.29, 5 In 3.32-3.44

*x*
Below is MgCd6In12 after structural relaxation, with properties calculated at the GGA-PBE level.

## Properties
M_tot: 0.000 Bohr magnetons per cell

Unit cell a=13.5386 b=13.5386 c=9.4096 alpha=90.00 beta=90.00 gamma=120.00
With the nearest neighbours (Å) after each atom.
Space group R-3 (No. 148, hexagonal axes)
Inequivalent atoms, fractional coordinates:
Mg 0.0000 0.0000 0.0000 (multiplicity 3)  6 In 3.18, 6 Cd 3.18
Cd 0.0045 0.1323 0.7182 (multiplicity 18)  7 In 3.03-3.34, 2 Cd 3.05, 1 Mg 3.18
In 0.0306 0.2617 0.4118 (multiplicity 18)  4 Cd 3.03-3.30, 3 In 3.20-3.26
In 0.0651 0.5651 0.6441 (multiplicity 18)  3 Cd 3.16-3.34, 1 Mg 3.18, 6 In 3.20-3.26

Most stable: *x* (next structure +0.016 eV/atom)

*w*
Below is Mg12CdIn6 after structural relaxation, with properties calculated at the GGA-PBE level.

## Properties
M_tot: 0.000 Bohr magnetons per cell

Unit cell a=12.3697 b=12.3697 c=10.4623 alpha=90.00 beta=90.00 gamma=120.00
With the nearest neighbours (Å) after each atom.
Space group R-3 (No. 148, hexagonal axes)
Inequivalent atoms, fractional coordinates:
Mg 0.0079 0.7467 0.0026 (multiplicity 18)  4 In 3.06-3.37, 5 Mg 3.10-3.18, 1 Cd 3.18
Mg 0.0639 0.5431 0.1220 (multiplicity 18)  6 Mg 2.91-3.18, 2 In 3.17-3.19
Cd 0.0000 0.0000 0.0000 (multiplicity 3)  6 Mg 3.18, 6 In 3.29
In 0.0716 0.8985 0.7413 (multiplicity 18)  7 Mg 3.06-3.37, 2 In 3.23, 1 Cd 3.29

*x*
Below is Mg12CdIn6 after structural relaxation, with properties calculated at the GGA-PBE level.

## Properties
M_tot: 0.000 Bohr magnetons per cell

Unit cell a=10.9464 b=10.9464 c=13.1361 alpha=90.00 beta=90.00 gamma=120.00
With the nearest neighbours (Å) after each atom.
Space group R-3 (No. 148, hexagonal axes)
Inequivalent atoms, fractional coordinates:
Mg 0.0353 0.1840 0.3156 (multiplicity 18)  1 Cd 3.05, 4 Mg 3.13-3.21, 4 In 3.18-3.25
Mg 0.0633 0.8473 0.9136 (multiplicity 18)  4 In 2.99-3.12, 4 Mg 3.10-3.22
Cd 0.0000 0.0000 0.5000 (multiplicity 3)  6 Mg 3.05, 6 In 3.18
In 0.0134 0.4304 0.2030 (multiplicity 18)  8 Mg 2.99-3.25, 1 Cd 3.18, 2 In 3.29

Most stable: *x* (next structure +0.035 eV/atom)